(1)
VASP calculation (PBE) on a relaxed structure of PdPtNF2.

- calculated volume (Å³/f.u.) = 68.93
- uncorrected energy (eV/atom) = -4.09
- space group = P4/mmm, No. 123

Lattice parameters (Å, degrees): 4.2621 4.2621 3.7944 90.00 90.00 90.00
Each line ends with the local moment (μB).
Element x y z (fractional)
1 N 0.0000 0.0000 0.5000  -0.01
2 Pd 0.0000 0.0000 0.0000  -0.02
3 Pt 0.5000 0.5000 0.5000  0.36
4 F 0.0000 0.5000 0.0000  0.01
5 F 0.5000 0.0000 0.0000  0.01

(2)
VASP calculation (PBE) on a relaxed structure of RePdN2F.

- calculated volume (Å³/f.u.) = 61.81
- uncorrected energy (eV/atom) = -6.97
- space group = P4/mmm, No. 123

Lattice parameters (Å, degrees): 3.8935 3.8935 4.0773 90.00 90.00 90.00
Element x y z (fractional)
1 Re 0.0000 0.0000 0.0000
2 N 0.0000 0.5000 0.0000
3 N 0.5000 0.0000 0.0000
4 Pd 0.5000 0.5000 0.5000
5 F 0.0000 0.0000 0.5000

(3)
VASP calculation (PBE) on a relaxed structure of RePdN2F.

- calculated volume (Å³/f.u.) = 64.16
- uncorrected energy (eV/atom) = -5.59
- space group = P4/mmm, No. 123

Lattice parameters (Å, degrees): 4.0258 4.0258 3.9590 90.00 90.00 90.00
Each line ends with the local moment (μB).
Element x y z (fractional)
1 Re 0.5000 0.5000 0.5000  3.40
2 N 0.0000 0.5000 0.0000  -0.39
3 N 0.5000 0.0000 0.0000  -0.39
4 Pd 0.0000 0.0000 0.0000  -0.31
5 F 0.0000 0.0000 0.5000  0.05

The evaluated energy above the most stable polymorph in this dataset for the records listed, in turn: 37.0, 0.0, 132.5 kJ/mol of atoms.
The evaluated formation energy without anion corrections for the records listed, in turn: 55.3, 25.8, 158.3 kJ/mol of atoms.